Record 1
Crystalline Be2FeH6 at its relaxed geometry. Source: Alexandria via LeMat-Bulk, functional GGA-PBE.

As for the symmetry: Fm-3m. The crystal system is cubic. The size of the total moment comes out at 0.05 μB/f.u. The value obtained for the electronic total energy is -3.92 eV/atom.

Geometry as POSCAR:
```
Be2FeH6
1.0
-3.175 -1.006 -2.278
-2.819 -2.492 1.456
-3.667 1.415 0.912
Be Fe H
2 1 6
Cartesian
-7.246 -1.562 0.068
-2.415 -0.521 0.023
0.000 0.000 0.000
-5.610 -1.058 1.140
-5.379 -2.198 -0.363
-5.778 -0.358 -0.619
-4.051 -1.025 -1.049
-4.282 0.116 0.454
-3.883 -1.725 0.710
```

---

Record 2
Crystalline BaCaFe2 at its relaxed geometry. Source: Alexandria via LeMat-Bulk, functional GGA-PBE.

As for the symmetry: Pmmm. The crystal system is orthorhombic. Its energy above the most stable polymorph in this dataset is 176 meV per atom. The formation energy comes out at 0.62 eV per atom. The size of the total moment comes out at 4.95 μB/f.u.

Geometry as POSCAR:
```
BaCaFe2
1.0
3.969 0.000 0.000
0.000 3.909 -0.039
0.000 3.977 7.038
Ca Ba Fe
1 1 2
Cartesian
1.985 5.915 5.250
1.985 1.972 1.750
0.000 3.972 6.384
0.000 3.949 4.154
```

---

Record 3
Crystalline ErCdRh2 at its relaxed geometry. Source: Alexandria via LeMat-Bulk, functional GGA-PBE.

As for the symmetry: Fm-3m. The crystal system is cubic. Its energy above the most stable polymorph in this dataset is 30 meV per atom. The formation energy comes out at -0.60 eV per atom. The size of the total moment comes out at 0.00 μB/f.u.

Geometry as POSCAR:
```
ErCdRh2
1.0
-4.302 -1.505 1.008
-0.852 -4.577 0.338
-0.888 -1.908 4.166
Cd Rh Er
1 2 1
Cartesian
-3.021 -3.995 2.756
-1.510 -1.997 1.378
-4.531 -5.992 4.134
0.000 0.000 0.000
```

---

Record 4
Crystalline NaMg6Cd at its relaxed geometry. Source: Alexandria via LeMat-Bulk, functional GGA-PBE.

As for the symmetry: Amm2. The crystal system is orthorhombic. The formation energy comes out at 0.00 eV per atom. The size of the total moment comes out at 0.00 μB/f.u.

Geometry as POSCAR:
```
NaMg6Cd
1.0
-5.961 -0.296 2.327
4.008 -4.932 0.802
1.669 2.094 4.539
Na Mg Cd
1 6 1
Cartesian
2.325 -4.149 1.060
0.335 -1.701 0.662
-0.634 -4.296 2.215
-2.622 -1.848 1.817
-0.478 0.095 3.191
-1.436 -2.471 4.727
-3.452 -0.027 4.341
1.489 -2.325 3.585
```

---

Record 5
Crystalline Rb2ZnBCl6 at its relaxed geometry. Source: Alexandria via LeMat-Bulk, functional GGA-PBE.

For the formation energy from raw total energies, the calculation gives -949 meV per atom. As for the symmetry: I4/mmm. The crystal system is tetragonal. The size of the total moment comes out at 0.00 μB/f.u.

Geometry as POSCAR:
```
Rb2ZnBCl6
1.0
-5.114 3.132 -3.357
-1.439 -5.865 -3.280
-6.596 -2.690 0.504
Zn B Rb Cl
1 1 2 6
Cartesian
0.000 0.000 0.000
-3.276 -1.367 -3.319
-7.493 -0.463 -3.086
-5.656 -4.961 -3.047
-5.107 -2.097 -1.210
-8.042 -3.327 -4.923
-1.849 -0.771 -1.873
-4.704 -1.962 -4.764
-4.077 0.593 -3.335
-2.476 -3.327 -3.302
```

---

Record 6
Crystalline Mn3MoP at its relaxed geometry. Source: Alexandria via LeMat-Bulk, functional GGA-PBE.

As for the symmetry: Pm-3m. The crystal system is cubic. Its energy above the most stable polymorph in this dataset is 0 meV per atom. The formation energy comes out at 0.50 eV per atom. The size of the total moment comes out at 1.51 μB/f.u.

Geometry as POSCAR:
```
Mn3MoP
1.0
4.092 0.000 0.000
0.000 4.092 0.000
0.000 0.000 4.092
P Mo Mn
1 1 3
Cartesian
0.000 0.000 0.000
2.046 2.046 2.046
0.000 2.046 0.000
0.000 0.000 2.046
2.046 0.000 0.000
```